1) VASP calculation (PBE-GGA) on crystalline PmSmCdAu at its relaxed geometry.

Results
Total moment, μB per atom: 0.000
ρ, g/cm3: 9.52
DOS at the Fermi energy, states/eV per cell: 3.5

a b c (Å): 3.7519 3.7519 7.4920
angles (deg): 90.00 90.00 90.00
Sites, in units of the cell vectors:
Sm 0.5000 0.5000 0.5928
Pm 0.5000 0.5000 0.1200
Cd 0.0000 0.0000 0.8548
Au 0.0000 0.0000 0.3603



2) VASP calculation (PBE-GGA) on crystalline PmSmCdAu at its relaxed geometry.

Results
Total moment, μB per atom: 0.000
ρ, g/cm3: 9.54
DOS at the Fermi energy, states/eV per cell: 3.2

a b c (Å): 5.3003 5.3003 5.3003
angles (deg): 60.00 60.00 60.00
Sites, in units of the cell vectors:
Au 0.2500 0.2500 0.2500
Cd 0.7500 0.7500 0.7500
Sm 0.0000 0.0000 0.0000
Pm 0.5000 0.5000 0.5000



1) ends up most stable, edging out the next structure by 32 meV/atom.



1) VASP calculation (PBE-GGA) on crystalline PmYCdAu at its relaxed geometry.

Results
Total moment, μB per atom: 0.000
ρ, g/cm3: 8.78
DOS at the Fermi energy, states/eV per cell: 3.8

a b c (Å): 3.7135 3.7135 7.4549
angles (deg): 90.00 90.00 90.00
Sites, in units of the cell vectors:
Pm 0.5000 0.5000 0.1184
Y 0.5000 0.5000 0.5922
Au 0.0000 0.0000 0.3706
Cd 0.0000 0.0000 0.8468



2) VASP calculation (PBE-GGA) on crystalline PmYCdAu at its relaxed geometry.

Results
Total moment, μB per atom: 0.000
ρ, g/cm3: 8.78
DOS at the Fermi energy, states/eV per cell: 3.2

a b c (Å): 5.2568 5.2568 5.2568
angles (deg): 60.00 60.00 60.00
Sites, in units of the cell vectors:
Au 0.2500 0.2500 0.2500
Y 0.5000 0.5000 0.5000
Cd 0.7500 0.7500 0.7500
Pm 0.0000 0.0000 0.0000



1) ends up most stable, edging out the next structure by 29 meV/atom.



1) VASP calculation (PBE-GGA) on crystalline PrCdAu3 at its relaxed geometry.

Results
Total moment, μB per atom: 0.000
ρ, g/cm3: 11.76
DOS at the Fermi energy, states/eV per cell: 4.2

a b c (Å): 5.0908 5.2066 9.6956
angles (deg): 105.58 105.05 90.00
Sites, in units of the cell vectors:
Au 0.7815 0.0316 0.0632
Au 0.0384 0.7899 0.5798
Au 0.5443 0.2939 0.5878
Au 0.2185 0.9684 0.9368
Au 0.4557 0.7061 0.4122
Au 0.9616 0.2101 0.4202
Pr 0.1347 0.3857 0.7714
Pr 0.8653 0.6143 0.2286
Cd 0.6221 0.8735 0.7470
Cd 0.3779 0.1265 0.2530



2) VASP calculation (PBE-GGA) on crystalline PrCdAu3 at its relaxed geometry.

Results
Total moment, μB per atom: 0.000
ρ, g/cm3: 12.58
DOS at the Fermi energy, states/eV per cell: 4.6

a b c (Å): 6.6283 5.6262 5.9764
angles (deg): 90.00 90.00 91.50
Sites, in units of the cell vectors:
Pr 0.8397 0.8249 0.2500
Pr 0.1603 0.1751 0.7500
Au 0.3175 0.6541 0.0100
Au 0.0435 0.3263 0.2500
Au 0.6825 0.3459 0.9900
Au 0.9565 0.6737 0.7500
Au 0.6825 0.3459 0.5100
Au 0.3175 0.6541 0.4900
Cd 0.3968 0.0895 0.2500
Cd 0.6032 0.9105 0.7500



2) ends up most stable, edging out the next structure by 64 meV/atom.



1) VASP calculation (PBE-GGA) on crystalline Pr2CdAu at its relaxed geometry.

Results
Total moment, μB per atom: 0.000
ρ, g/cm3: 7.86
DOS at the Fermi energy, states/eV per cell: 5.7

a b c (Å): 4.0575 4.0575 9.0630
angles (deg): 77.06 77.06 60.00
Sites, in units of the cell vectors:
Pr 0.2585 0.2585 0.2245
Pr 0.7415 0.7415 0.7755
Cd 0.5000 0.5000 0.5000
Au 0.0000 0.0000 0.0000



2) VASP calculation (PBE-GGA) on crystalline Pr2CdAu at its relaxed geometry.

Results
Total moment, μB per atom: 0.062
ρ, g/cm3: 8.87
DOS at the Fermi energy, states/eV per cell: 3.7

a b c (Å): 5.3896 5.3896 5.3896
angles (deg): 60.00 60.00 60.00
Sites, in units of the cell vectors:
Au 0.0000 0.0000 0.0000
Pr 0.2500 0.2500 0.2500
Pr 0.7500 0.7500 0.7500
Cd 0.5000 0.5000 0.5000



2) ends up most stable, edging out the next structure by 146 meV/atom.



1) VASP calculation (PBE-GGA) on crystalline PrCdAu4 at its relaxed geometry.

Results
Total moment, μB per atom: 0.000
ρ, g/cm3: 13.57
DOS at the Fermi energy, states/eV per cell: 5.8

a b c (Å): 5.6482 5.6482 5.6482
angles (deg): 60.00 60.00 60.00
Sites, in units of the cell vectors:
Pr 0.0000 0.0000 0.0000
Au 0.1265 0.6245 0.6245
Au 0.6245 0.6245 0.1265
Au 0.6245 0.6245 0.6245
Au 0.6245 0.1265 0.6245
Cd 0.2500 0.2500 0.2500



2) VASP calculation (PBE-GGA) on crystalline PrCdAu4 at its relaxed geometry.

Results
Total moment, μB per atom: 0.000
ρ, g/cm3: 13.08
DOS at the Fermi energy, states/eV per cell: 2.2

a b c (Å): 4.7665 4.7670 6.7172
angles (deg): 89.92 89.99 120.00
Sites, in units of the cell vectors:
Cd 0.0041 0.4995 0.9982
Au 0.6703 0.8320 0.7669
Au 0.6710 0.8334 0.2288
Au 0.3370 0.1654 0.7674
Au 0.3377 0.1668 0.2292
Pr 0.0040 0.4995 0.4982



2) ends up most stable, edging out the next structure by 19 meV/atom.



1) VASP calculation (PBE-GGA) on crystalline Pr6CdAu at its relaxed geometry.

Results
Total moment, μB per atom: 0.000
ρ, g/cm3: 7.57
DOS at the Fermi energy, states/eV per cell: 7.3

a b c (Å): 9.2993 8.6490 6.3473
angles (deg): 47.03 42.90 57.40
Sites, in units of the cell vectors:
Pr 0.4405 0.7552 0.8339
Pr 0.7550 0.9706 0.7143
Pr 0.5595 0.2448 0.1661
Pr 0.9716 0.5600 0.2236
Pr 0.2450 0.0294 0.2857
Pr 0.0284 0.4400 0.7764
Cd 0.5000 0.5000 0.5000
Au 0.0000 0.0000 0.0000



2) VASP calculation (PBE-GGA) on crystalline Pr6CdAu at its relaxed geometry.

Results
Total moment, μB per atom: 0.000
ρ, g/cm3: 7.51
DOS at the Fermi energy, states/eV per cell: 10.8

a b c (Å): 5.3308 5.3313 9.7467
angles (deg): 74.13 74.13 89.99
Sites, in units of the cell vectors:
Cd 0.5000 0.5000 0.0000
Pr 0.6075 0.1074 0.7852
Pr 0.7482 0.7482 0.5034
Pr 0.2518 0.2518 0.4966
Pr 0.3925 0.8926 0.2148
Pr 0.8926 0.3925 0.2148
Pr 0.1074 0.6075 0.7852
Au 0.0000 0.0000 0.0000



2) ends up most stable, edging out the next structure by 61 meV/atom.



1) VASP calculation (PBE-GGA) on crystalline PrCd4Au at its relaxed geometry.

Results
Total moment, μB per atom: 0.000
ρ, g/cm3: 9.07
DOS at the Fermi energy, states/eV per cell: 5.8

a b c (Å): 4.4043 7.7421 8.4612
angles (deg): 90.00 90.00 90.00
Sites, in units of the cell vectors:
Cd 0.5000 0.3161 0.9513
Cd 0.5000 0.3161 0.5487
Cd 0.5000 0.6839 0.0487
Cd 0.0000 0.0000 0.0000
Cd 0.5000 0.0625 0.2500
Cd 0.5000 0.9375 0.7500
Cd 0.5000 0.6839 0.4513
Cd 0.0000 0.0000 0.5000
Pr 0.0000 0.6175 0.7500
Pr 0.0000 0.3825 0.2500
Au 0.0000 0.7727 0.2500
Au 0.0000 0.2273 0.7500



2) VASP calculation (PBE-GGA) on crystalline PrCd4Au at its relaxed geometry.

Results
Total moment, μB per atom: 0.000
ρ, g/cm3: 9.19
DOS at the Fermi energy, states/eV per cell: 5.7

a b c (Å): 5.8595 5.8595 5.8595
angles (deg): 60.00 60.00 60.00
Sites, in units of the cell vectors:
Au 0.0000 0.0000 0.0000
Cd 0.6254 0.1239 0.6254
Cd 0.1239 0.6254 0.6254
Cd 0.6254 0.6254 0.1239
Cd 0.6254 0.6254 0.6254
Pr 0.2500 0.2500 0.2500



1) ends up most stable, edging out the next structure by 198 meV/atom.



1) VASP calculation (PBE-GGA) on crystalline Pr3Cd2Au4 at its relaxed geometry.

Results
Total moment, μB per atom: 0.000
ρ, g/cm3: 10.82
DOS at the Fermi energy, states/eV per cell: 5.2

a b c (Å): 4.8118 6.1221 8.6030
angles (deg): 74.80 73.76 66.86
Sites, in units of the cell vectors:
Au 0.2785 0.3816 0.0614
Au 0.7215 0.6184 0.9386
Au 0.9319 0.7360 0.4003
Au 0.0681 0.2640 0.5997
Pr 0.0000 0.0000 0.0000
Pr 0.6484 0.3907 0.3124
Pr 0.3516 0.6093 0.6876
Cd 0.6467 0.0204 0.6862
Cd 0.3533 0.9796 0.3138



2) VASP calculation (PBE-GGA) on crystalline Pr3Cd2Au4 at its relaxed geometry.

Results
Total moment, μB per atom: 0.000
ρ, g/cm3: 10.50
DOS at the Fermi energy, states/eV per cell: 6.1

a b c (Å): 4.6757 5.6168 9.5069
angles (deg): 89.01 90.00 114.60
Sites, in units of the cell vectors:
Au 0.6896 0.3791 0.0759
Au 0.0703 0.1406 0.6289
Au 0.3104 0.6209 0.9241
Au 0.9297 0.8594 0.3711
Cd 0.6671 0.3341 0.7735
Cd 0.3329 0.6659 0.2265
Pr 0.3663 0.7326 0.6155
Pr 0.0000 0.0000 0.0000
Pr 0.6337 0.2674 0.3845



1) ends up most stable, edging out the next structure by 37 meV/atom.



1) VASP calculation (PBE-GGA) on crystalline Pr2Cd5Au3 at its relaxed geometry.

Results
Total moment, μB per atom: 0.000
ρ, g/cm3: 9.98
DOS at the Fermi energy, states/eV per cell: 12.9

a b c (Å): 4.6282 7.6230 13.7237
angles (deg): 90.00 99.71 90.00
Sites, in units of the cell vectors:
Pr 0.1787 0.6900 0.3573
Pr 0.4781 0.7907 0.9562
Pr 0.8213 0.1900 0.6427
Pr 0.5219 0.2907 0.0438
Au 0.3886 0.0343 0.7772
Au 0.2336 0.1802 0.4671
Au 0.0444 0.0078 0.0889
Au 0.7664 0.6802 0.5329
Au 0.6114 0.5343 0.2228
Au 0.9556 0.5078 0.9111
Cd 0.6016 0.9190 0.2033
Cd 0.2942 0.4874 0.5884
Cd 0.7058 0.9874 0.4116
Cd 0.7050 0.3769 0.4100
Cd 0.8740 0.7547 0.7479
Cd 0.0549 0.6239 0.1098
Cd 0.3984 0.4190 0.7967
Cd 0.9451 0.1239 0.8902
Cd 0.2950 0.8769 0.5900
Cd 0.1260 0.2547 0.2521



2) VASP calculation (PBE-GGA) on crystalline Pr2Cd5Au3 at its relaxed geometry.

Results
Total moment, μB per atom: 0.000
ρ, g/cm3: 9.85
DOS at the Fermi energy, states/eV per cell: 9.5

a b c (Å): 6.0967 9.4274 9.4274
angles (deg): 88.15 71.13 71.13
Sites, in units of the cell vectors:
Cd 0.9998 0.2502 0.2502
Cd 0.7500 0.5000 0.5000
Cd 0.5002 0.7498 0.7498
Cd 0.3849 0.2572 0.9731
Cd 0.1151 0.0269 0.7428
Cd 0.4998 0.2502 0.2502
Cd 0.6151 0.7428 0.0269
Cd 0.2500 0.5000 0.5000
Cd 0.8849 0.9731 0.2572
Cd 0.0002 0.7498 0.7498
Au 0.7500 0.0000 0.0000
Au 0.8740 0.7759 0.4762
Au 0.6260 0.5238 0.2241
Au 0.2500 0.0000 0.0000
Au 0.1260 0.2241 0.5238
Au 0.3740 0.4762 0.7759
Pr 0.6283 0.1327 0.6107
Pr 0.1283 0.6107 0.1327
Pr 0.3717 0.8673 0.3893
Pr 0.8717 0.3893 0.8673



1) ends up most stable, edging out the next structure by 55 meV/atom.



1) VASP calculation (PBE-GGA) on crystalline CdPt2Au4 at its relaxed geometry.

Results
Total moment, μB per atom: 0.000
ρ, g/cm3: 15.85
DOS at the Fermi energy, states/eV per cell: 5.3

a b c (Å): 5.2540 13.4433 4.6427
angles (deg): 90.00 124.46 90.00
Sites, in units of the cell vectors:
Au 0.2109 0.6274 0.4217
Au 0.2874 0.2500 0.0749
Au 0.7874 0.2500 0.0749
Au 0.7126 0.7500 0.9251
Au 0.2891 0.1274 0.5783
Au 0.2126 0.7500 0.9251
Au 0.7891 0.3726 0.5783
Au 0.7109 0.8726 0.4217
Pt 0.6416 0.0713 0.2832
Pt 0.8584 0.5713 0.7168
Pt 0.3584 0.9287 0.7168
Pt 0.1416 0.4287 0.2832
Cd 0.0000 0.0000 0.0000
Cd 0.5000 0.5000 0.0000



2) VASP calculation (PBE-GGA) on crystalline CdPt2Au4 at its relaxed geometry.

Results
Total moment, μB per atom: 0.000
ρ, g/cm3: 17.45
DOS at the Fermi energy, states/eV per cell: 4.5

a b c (Å): 5.8610 6.4662 8.7476
angles (deg): 107.13 120.06 102.74
Sites, in units of the cell vectors:
Cd 0.0476 0.8289 0.9558
Cd 0.1914 0.6939 0.5359
Pt 0.4783 0.4143 0.6759
Pt 0.9180 0.9902 0.4004
Pt 0.9772 0.4065 0.6706
Pt 0.6197 0.2549 0.2454
Au 0.5503 0.8354 0.9620
Au 0.7747 0.1377 0.8251
Au 0.3470 0.5566 0.1134
Au 0.8432 0.5598 0.1149
Au 0.2710 0.1351 0.8216
Au 0.1193 0.2589 0.2477
Au 0.6929 0.6885 0.5316
Au 0.4194 0.9892 0.3998



2) ends up most stable, edging out the next structure by 164 meV/atom.



1) VASP calculation (PBE-GGA) on crystalline CdPt4Au at its relaxed geometry.

Results
Total moment, μB per atom: 0.000
ρ, g/cm3: 17.72
DOS at the Fermi energy, states/eV per cell: 5.2

a b c (Å): 4.5601 4.5601 5.6717
angles (deg): 90.00 90.00 120.00
Sites, in units of the cell vectors:
Pt 0.3333 0.6667 0.7467
Pt 0.3333 0.6667 0.2533
Pt 0.6667 0.3333 0.2533
Pt 0.6667 0.3333 0.7467
Au 0.0000 0.0000 0.5000
Cd 0.0000 0.0000 0.0000



2) VASP calculation (PBE-GGA) on crystalline CdPt4Au at its relaxed geometry.

Results
Total moment, μB per atom: 0.000
ρ, g/cm3: 16.48
DOS at the Fermi energy, states/eV per cell: 9.2

a b c (Å): 5.3032 9.5240 11.2870
angles (deg): 128.71 126.90 29.96
Sites, in units of the cell vectors:
Pt 0.4852 0.2334 0.9669
Pt 0.7634 0.5182 0.5334
Pt 0.2366 0.4818 0.4666
Pt 0.2700 0.0152 0.5334
Pt 0.9817 0.7335 0.9669
Pt 0.0183 0.2665 0.0331
Pt 0.5148 0.7666 0.0331
Pt 0.7300 0.9848 0.4666
Cd 0.6250 0.3749 0.7499
Cd 0.3750 0.6251 0.2501
Au 0.8750 0.1250 0.2500
Au 0.1250 0.8750 0.7500



3) VASP calculation (PBE-GGA) on crystalline CdPt4Au at its relaxed geometry.

Results
Total moment, μB per atom: 0.000
ρ, g/cm3: 16.96
DOS at the Fermi energy, states/eV per cell: 5.2

a b c (Å): 5.3238 5.3238 5.3238
angles (deg): 60.00 60.00 60.00
Sites, in units of the cell vectors:
Pt 0.8747 0.3751 0.3751
Pt 0.3751 0.3751 0.8747
Pt 0.3751 0.3751 0.3751
Pt 0.3751 0.8747 0.3751
Cd 0.0000 0.0000 0.0000
Au 0.7500 0.7500 0.7500



1) ends up most stable, edging out the next structure by 27 meV/atom.